Record 1
Density functional theory data (GGA-PBE) for a relaxed CsKVCl4 crystal.

- mass density (g cm⁻³) = 2.90
- VASP energy (eV/cell) = -29.7
- formation energy from raw total energies (eV/atom) = -1.60
- magnetic moment (μB per formula unit) = 3.00

a b c (Å): 8.9846 8.9846 8.9846
angles (deg): 147.47 147.47 46.67
Closest atoms and distances in Å follow each position.
Positions (direct):
Cs: 0.0000 0.0000 0.0000  9 Cl 3.38-3.56
K: 0.2829 0.2829 0.0000  9 Cl 3.31-3.56
V: 0.6440 0.6440 0.0000  6 Cl 2.50-2.52
Cl: 0.1523 0.6523 0.5000  2 V 2.52
Cl: 0.4921 0.4921 0.0000  1 V 2.51
Cl: 0.6523 0.1523 0.5000  2 V 2.52
Cl: 0.7954 0.7954 0.0000  1 V 2.50

=====

Record 2
Density functional theory data (GGA-PBE) for a relaxed K2InAuI6 crystal.

- mass density (g cm⁻³) = 4.38
- VASP energy (eV/cell) = -25.2
- formation energy from raw total energies (eV/atom) = -0.77
- magnetic moment (μB per formula unit) = 0.00
- polymorph energy (0 for the lowest one) (eV/atom) = 0.0000

a b c (Å): 8.3497 8.3572 8.6738
angles (deg): 90.08 118.77 119.92
Closest atoms and distances in Å follow each position.
Positions (direct):
K: 0.0000 0.0000 0.0000  6 I 3.57-3.60
K: 0.0350 0.5182 0.5513  6 I 3.54-3.77
In: 0.5674 0.2845 0.8507  6 I 2.86-3.14
Au: 0.4137 0.7083 0.1207  3 I 2.73
I: 0.0659 0.4416 0.1403  1 Au 2.73
I: 0.1065 0.1389 0.6500  1 In 2.86
I: 0.5120 0.9689 0.6498  1 In 2.86
I: 0.5171 0.0762 0.1410  1 Au 2.73
I: 0.6815 0.5439 0.6495  1 In 2.86
I: 0.6993 0.6248 0.1405  1 Au 2.73

=====

Record 3
Density functional theory data (GGA-PBE) for a relaxed Tb4Tm5In2 crystal.

- mass density (g cm⁻³) = 8.41
- VASP energy (eV/cell) = -45.9
- magnetic moment (μB per formula unit) = 0.01
- E_form (eV per atom) = 0.043

a b c (Å): 12.3438 12.3438 7.9919
angles (deg): 92.22 92.22 16.11
Closest atoms and distances in Å follow each position.
Positions (direct):
Tb: 0.0472 0.0472 0.1679  2 In 3.23, 2 Tm 3.41, 5 Tb 3.41-3.47
Tb: 0.0895 0.0895 0.7603  4 Tm 3.28-3.56, 2 In 3.38, 4 Tb 3.41-3.46
Tb: 0.9105 0.9105 0.2397  4 Tm 3.28-3.56, 2 In 3.38, 4 Tb 3.41-3.46
Tb: 0.9528 0.9528 0.8321  2 In 3.23, 2 Tm 3.41, 5 Tb 3.41-3.47
Tm: 0.1768 0.1768 0.4140  2 In 3.25, 5 Tm 3.40-3.59, 1 Tb 3.56
Tm: 0.2231 0.2231 0.8209  3 In 3.10-3.21, 1 Tb 3.28, 3 Tm 3.40-3.46
Tm: 0.5000 0.5000 0.5000  8 Tb 3.41-3.43, 2 Tm 3.46
Tm: 0.7769 0.7769 0.1791  3 In 3.10-3.21, 1 Tb 3.28, 3 Tm 3.40-3.46
Tm: 0.8232 0.8232 0.5860  2 In 3.25, 5 Tm 3.40-3.59, 1 Tb 3.56
In: 0.3467 0.3467 0.9254  5 Tm 3.10-3.25, 4 Tb 3.23-3.38, 2 In 3.46
In: 0.6533 0.6533 0.0746  5 Tm 3.10-3.25, 4 Tb 3.23-3.38, 2 In 3.46

=====

Record 4
Density functional theory data (GGA-PBE) for a relaxed AlCrCd crystal.

- mass density (g cm⁻³) = 6.09
- VASP energy (eV/cell) = -13.4
- magnetic moment (μB per formula unit) = 3.32
- E_form (eV per atom) = 0.287
- polymorph energy (0 for the lowest one) (eV/atom) = 0.0653

a b c (Å): 4.5375 4.5375 2.9269
angles (deg): 90.00 90.00 120.00
Closest atoms and distances in Å follow each position.
Positions (direct):
Al: 0.0000 0.0000 0.0000  3 Cd 2.62, 2 Al 2.93
Cr: 0.3333 0.6667 0.5066  2 Cr 2.93, 6 Al 2.99-3.01, 6 Cd 3.00-3.01
Cd: 0.6667 0.3333 0.0105  3 Al 2.62, 2 Cd 2.93

=====

Record 5
Density functional theory data (GGA-PBE) for a relaxed CrSiIr4 crystal.

- mass density (g cm⁻³) = 14.50
- VASP energy (eV/cell) = -47.3
- formation energy from raw total energies (eV/atom) = 0.53
- magnetic moment (μB per formula unit) = 2.35

a b c (Å): 5.1613 5.1613 5.1613
angles (deg): 60.00 60.00 60.00
Closest atoms and distances in Å follow each position.
Positions (direct):
Cr: 0.0000 0.0000 0.0000  12 Ir 3.03, 4 Si 3.16
Si: 0.2500 0.2500 0.2500  12 Ir 3.03, 4 Cr 3.16
Ir: 0.1252 0.6249 0.6249  6 Ir 2.58
Ir: 0.6249 0.1252 0.6249  6 Ir 2.58
Ir: 0.6249 0.6249 0.1252  6 Ir 2.58
Ir: 0.6249 0.6249 0.6249  6 Ir 2.58

=====

Record 6
Density functional theory data (GGA-PBE) for a relaxed K2Rb5Cl3O2 crystal.

- mass density (g cm⁻³) = 2.62
- VASP energy (eV/cell) = -39.4
- formation energy from raw total energies (eV/atom) = -1.41
- magnetic moment (μB per formula unit) = 0.00

a b c (Å): 13.9591 13.9591 13.9591
angles (deg): 157.22 157.22 32.43
Closest atoms and distances in Å follow each position.
Positions (direct):
K: 0.1980 0.1980 0.0000  1 O 2.51
K: 0.8020 0.8020 0.0000  1 O 2.51
Rb: 0.0000 0.0000 0.0000  2 O 2.80
Rb: 0.1008 0.6008 0.5000  2 O 2.76
Rb: 0.3992 0.8992 0.5000  2 O 2.76
Rb: 0.6008 0.1008 0.5000  2 O 2.76
Rb: 0.8992 0.3992 0.5000  2 O 2.76
Cl: 0.3151 0.3151 0.0000  1 K 3.14
Cl: 0.5000 0.5000 0.0000  12 Rb 3.86-3.90
Cl: 0.6849 0.6849 0.0000  1 K 3.14
O: 0.1043 0.1043 0.0000  1 K 2.51, 5 Rb 2.76-2.80
O: 0.8957 0.8957 0.0000  1 K 2.51, 5 Rb 2.76-2.80

=====

Record 7
Density functional theory data (GGA-PBE) for a relaxed CaCr2Au crystal.

- mass density (g cm⁻³) = 7.28
- VASP energy (eV/cell) = -22.8
- magnetic moment (μB per formula unit) = 8.45
- E_form (eV per atom) = 0.435
- polymorph energy (0 for the lowest one) (eV/atom) = 0.3009

a b c (Å): 4.7919 4.7919 4.7919
angles (deg): 60.00 60.00 60.00
Closest atoms and distances in Å follow each position.
Positions (direct):
Ca: 0.0000 0.0000 0.0000  8 Cr 2.93
Cr: 0.2500 0.2500 0.2500  4 Au 2.93, 4 Ca 2.93
Cr: 0.7500 0.7500 0.7500  4 Au 2.93, 4 Ca 2.93
Au: 0.5000 0.5000 0.5000  8 Cr 2.93

=====

Record 8
Density functional theory data (GGA-PBE) for a relaxed DyB2Ru crystal.

- mass density (g cm⁻³) = 9.45
- VASP energy (eV/cell) = -118.7
- magnetic moment (μB per formula unit) = 0.00
- E_form (eV per atom) = -0.608
- polymorph energy (0 for the lowest one) (eV/atom) = 0.0000

a b c (Å): 5.9154 5.3239 6.3681
angles (deg): 90.00 90.00 90.00
Closest atoms and distances in Å follow each position.
Positions (direct):
Dy: 0.0105 0.2500 0.1629  6 B 2.63-2.70, 1 Ru 2.93
Dy: 0.4895 0.7500 0.6629  6 B 2.63-2.70, 1 Ru 2.93
Dy: 0.5105 0.2500 0.3371  6 B 2.63-2.70, 1 Ru 2.93
Dy: 0.9895 0.7500 0.8371  6 B 2.63-2.70, 1 Ru 2.93
B: 0.1301 0.5849 0.4617  2 B 1.76-1.85
B: 0.1301 0.9151 0.4617  2 B 1.76-1.85
B: 0.3699 0.0849 0.9617  2 B 1.76-1.85
B: 0.3699 0.4151 0.9617  2 B 1.76-1.85
B: 0.6301 0.5849 0.0383  2 B 1.76-1.85
B: 0.6301 0.9151 0.0383  2 B 1.76-1.85
B: 0.8699 0.0849 0.5383  2 B 1.76-1.85
B: 0.8699 0.4151 0.5383  2 B 1.76-1.85
Ru: 0.1829 0.2500 0.6816  6 B 2.24-2.29
Ru: 0.3171 0.7500 0.1816  6 B 2.24-2.29
Ru: 0.6829 0.2500 0.8184  6 B 2.24-2.29
Ru: 0.8171 0.7500 0.3184  6 B 2.24-2.29

=====

Record 9
Density functional theory data (GGA-PBE) for a relaxed Ac8CoRu2 crystal.

- mass density (g cm⁻³) = 8.74
- VASP energy (eV/cell) = -59.6
- magnetic moment (μB per formula unit) = 0.00
- E_form (eV per atom) = -0.098
- polymorph energy (0 for the lowest one) (eV/atom) = 0.0000

a b c (Å): 10.1877 10.1877 9.6344
angles (deg): 93.17 93.17 23.29
Closest atoms and distances in Å follow each position.
Positions (direct):
Ac: 0.0103 0.0103 0.1992  2 Co 2.81
Ac: 0.2255 0.2255 0.3284  2 Ru 3.12
Ac: 0.3508 0.3508 0.0420  1 Co 3.03, 2 Ru 3.05
Ac: 0.4012 0.4012 0.4534  2 Ru 2.93
Ac: 0.5988 0.5988 0.5466  2 Ru 2.93
Ac: 0.6492 0.6492 0.9580  1 Co 3.03, 2 Ru 3.05
Ac: 0.7745 0.7745 0.6716  2 Ru 3.12
Ac: 0.9897 0.9897 0.8008  2 Co 2.81
Co: 0.5000 0.5000 0.0000  6 Ac 2.81-3.03
Ru: 0.1614 0.1614 0.7272  6 Ac 2.93-3.12
Ru: 0.8386 0.8386 0.2728  6 Ac 2.93-3.12

=====

Record 10
Density functional theory data (GGA-PBE) for a relaxed ScNbCuSb2 crystal.

- mass density (g cm⁻³) = 6.22
- VASP energy (eV/cell) = -25.9
- formation energy from raw total energies (eV/atom) = 0.56
- magnetic moment (μB per formula unit) = 0.00

a b c (Å): 5.0080 5.0080 4.7390
angles (deg): 90.00 90.00 90.00
Closest atoms and distances in Å follow each position.
Positions (direct):
Sc: 0.0000 0.0000 0.0000  8 Sb 3.45, 4 Nb 3.54
Nb: 0.5000 0.5000 0.0000  2 Cu 2.37
Cu: 0.5000 0.5000 0.5000  2 Nb 2.37, 4 Sb 2.50
Sb: 0.0000 0.5000 0.5000  2 Cu 2.50
Sb: 0.5000 0.0000 0.5000  2 Cu 2.50

=====

Record 11
Density functional theory data (GGA-PBE) for a relaxed V2Cu2Ge crystal.

- mass density (g cm⁻³) = 7.19
- VASP energy (eV/cell) = -60.0
- magnetic moment (μB per formula unit) = 2.03
- E_form (eV per atom) = 0.214
- polymorph energy (0 for the lowest one) (eV/atom) = 0.0000

a b c (Å): 6.0689 6.0689 3.7830
angles (deg): 90.00 90.00 90.00
Closest atoms and distances in Å follow each position.
Positions (direct):
V: 0.1601 0.3399 0.0000  6 Cu 2.58-2.61, 1 V 2.75
V: 0.3399 0.8399 0.0000  6 Cu 2.58-2.61, 1 V 2.75
V: 0.6601 0.1601 0.0000  6 Cu 2.58-2.61, 1 V 2.75
V: 0.8399 0.6601 0.0000  6 Cu 2.58-2.61, 1 V 2.75
Cu: 0.1357 0.6357 0.5000  1 Cu 2.33, 2 Ge 2.36, 2 V 2.58
Cu: 0.3643 0.1357 0.5000  1 Cu 2.33, 2 Ge 2.36, 2 V 2.58
Cu: 0.6357 0.8643 0.5000  1 Cu 2.33, 2 Ge 2.36, 2 V 2.58
Cu: 0.8643 0.3643 0.5000  1 Cu 2.33, 2 Ge 2.36, 2 V 2.58
Ge: 0.0000 0.0000 0.5000  4 Cu 2.36
Ge: 0.5000 0.5000 0.5000  4 Cu 2.36

=====

Record 12
Density functional theory data (GGA-PBE) for a relaxed DyFeCu crystal.

- mass density (g cm⁻³) = 8.72
- VASP energy (eV/cell) = -33.6
- magnetic moment (μB per formula unit) = 2.02
- E_form (eV per atom) = 0.121

a b c (Å): 4.6602 4.6602 5.4149
angles (deg): 90.00 90.00 114.04
Closest atoms and distances in Å follow each position.
Positions (direct):
Dy: 0.1504 0.8496 0.7500  5 Cu 2.75-2.84, 2 Fe 3.05
Dy: 0.8496 0.1504 0.2500  5 Cu 2.75-2.84, 2 Fe 3.05
Fe: 0.5000 0.5000 0.0000  2 Cu 2.62, 2 Fe 2.71
Fe: 0.5000 0.5000 0.5000  2 Cu 2.62, 2 Fe 2.71
Cu: 0.2129 0.7871 0.2500  2 Fe 2.62, 5 Dy 2.75-2.84
Cu: 0.7871 0.2129 0.7500  2 Fe 2.62, 5 Dy 2.75-2.84